1.
DFT (GGA-PBE) results for a geometry-optimized ScFe3Si structure.

```
ScFe3Si
1.0
4.4116 0.0000 0.0000
0.0000 4.4116 0.0000
0.0000 0.0000 4.4116
Sc Fe Si
1 3 1
direct
0.0000 0.0000 0.0000
0.0000 0.0000 0.5000
0.0000 0.5000 0.0000
0.5000 0.0000 0.0000
0.5000 0.5000 0.5000
```

Computed properties:
As for the offset from the most stable computed form: 1.484 eV/atom. Its space-group type is No. 221. For the spin magnetization, the calculation gives 6.46 μB per cell. As for the final energy: -5.93 eV/atom. The formation energy (no corrections) comes out at 1501 meV/atom.

---

2.
DFT (GGA-PBE) results for a geometry-optimized Sc2FeSi structure.

```
Sc2FeSi
1.0
1.5292 0.8829 8.6829
-1.5292 0.8829 8.6829
0.0000 -1.7658 8.6829
Sc Fe Si
2 1 1
direct
0.0856 0.0856 0.0856
0.9144 0.9144 0.9144
0.0000 0.0000 0.0000
0.5000 0.5000 0.5000
```

Computed properties:
Its space-group type is No. 166. For the spin magnetization, the calculation gives 0.00 μB per cell. As for the final energy: -6.36 eV/atom. The formation energy (no corrections) comes out at 274 meV/atom.

---

3.
DFT (GGA-PBE) results for a geometry-optimized Sc2Fe3Si structure.

```
Sc2Fe3Si
1.0
2.4850 1.4347 3.9607
-2.4850 1.4347 3.9607
0.0000 -2.8694 3.9607
Sc Fe Si
2 3 1
direct
0.1234 0.1234 0.1234
0.8766 0.8766 0.8766
0.0000 0.5000 0.5000
0.5000 0.0000 0.5000
0.5000 0.5000 0.0000
0.5000 0.5000 0.5000
```

Computed properties:
Its space-group type is No. 166. For the spin magnetization, the calculation gives 3.74 μB per cell. As for the final energy: -7.74 eV/atom. The formation energy (no corrections) comes out at -490 meV/atom.

---

4.
DFT (GGA-PBE) results for a geometry-optimized ScFe2Si structure.

```
ScFe2Si
1.0
4.5883 -1.5737 0.0000
4.5883 1.5737 0.0000
-1.7218 0.0000 3.7816
Sc Fe Si
1 2 1
direct
0.0000 0.0000 0.0000
0.4929 0.4929 0.4979
0.7650 0.7650 0.2571
0.2245 0.2245 0.7080
```

Computed properties:
Its space-group type is No. 8. For the spin magnetization, the calculation gives 3.20 μB per cell. As for the final energy: -7.42 eV/atom. The formation energy (no corrections) comes out at -249 meV/atom.

---

5.
DFT (GGA-PBE) results for a geometry-optimized Sc2FeSi2 structure.

```
Sc2FeSi2
1.0
3.9969 -2.1028 0.0000
3.9969 2.1028 0.0000
-0.4940 0.0000 9.5092
Sc Fe Si
4 2 4
direct
0.1514 0.1514 0.4329
0.2140 0.2140 0.7879
0.7860 0.7860 0.2121
0.8486 0.8486 0.5671
0.4162 0.4162 0.0933
0.5838 0.5838 0.9067
0.1190 0.1190 0.0744
0.4671 0.4671 0.3443
0.5329 0.5329 0.6557
0.8810 0.8810 0.9256
```

Computed properties:
Its space-group type is No. 12. For the spin magnetization, the calculation gives 0.00 μB per cell. As for the final energy: -6.83 eV/atom. The formation energy (no corrections) comes out at -434 meV/atom.

---

6.
DFT (GGA-PBE) results for a geometry-optimized Sc2Fe2Si structure.

```
Sc2Fe2Si
1.0
5.4281 -1.6296 0.0000
5.4281 1.6296 0.0000
-4.3839 0.0000 8.9876
Sc Fe Si
4 4 2
direct
0.0155 0.0155 0.1523
0.3443 0.3443 0.2929
0.6557 0.6557 0.7071
0.9845 0.9845 0.8477
0.3003 0.3003 0.9524
0.3149 0.3149 0.6176
0.6851 0.6851 0.3824
0.6997 0.6997 0.0476
0.0808 0.0808 0.4505
0.9192 0.9192 0.5495
```

Computed properties:
As for the offset from the most stable computed form: 0.059 eV/atom. Its space-group type is No. 12. For the spin magnetization, the calculation gives 5.10 μB per cell. As for the final energy: -7.30 eV/atom. The formation energy (no corrections) comes out at -302 meV/atom.

---

7.
DFT (GGA-PBE) results for a geometry-optimized ScFeSi structure.

```
ScFeSi
1.0
-1.9410 1.9410 6.2208
1.9410 -1.9410 6.2208
1.9410 1.9410 -6.2208
Sc Fe Si
2 2 2
direct
0.1507 0.1507 0.0000
0.8493 0.8493 0.0000
0.0000 0.5000 0.5000
0.5000 0.0000 0.5000
0.3921 0.3921 0.0000
0.6079 0.6079 0.0000
```

Computed properties:
Its space-group type is No. 139. For the spin magnetization, the calculation gives 0.46 μB per cell. As for the final energy: -7.39 eV/atom. The formation energy (no corrections) comes out at -651 meV/atom.

---

8.
DFT (GGA-PBE) results for a geometry-optimized Sc2FeSi structure.

```
Sc2FeSi
1.0
4.3662 0.0000 0.0000
0.0000 4.3662 0.0000
0.0000 0.0000 3.4725
Sc Fe Si
2 1 1
direct
0.0000 0.5000 0.0000
0.5000 0.0000 0.0000
0.0000 0.0000 0.5000
0.5000 0.5000 0.5000
```

Computed properties:
Its space-group type is No. 123. For the spin magnetization, the calculation gives 0.84 μB per cell. As for the final energy: -7.03 eV/atom. The formation energy (no corrections) comes out at -395 meV/atom.

---

9.
DFT (GGA-PBE) results for a geometry-optimized Sc2Fe2Si structure.

```
Sc2Fe2Si
1.0
4.5364 -2.0590 0.0000
4.5364 2.0590 0.0000
-2.4807 0.0000 8.1659
Sc Fe Si
4 4 2
direct
0.1081 0.1081 0.3803
0.2338 0.2338 0.7856
0.7662 0.7662 0.2144
0.8919 0.8919 0.6197
0.1312 0.1312 0.0477
0.4135 0.4135 0.3832
0.5865 0.5865 0.6168
0.8688 0.8688 0.9523
0.4362 0.4362 0.1171
0.5638 0.5638 0.8829
```

Computed properties:
As for the offset from the most stable computed form: 0.068 eV/atom. Its space-group type is No. 12. For the spin magnetization, the calculation gives 1.48 μB per cell. As for the final energy: -7.30 eV/atom. The formation energy (no corrections) comes out at -293 meV/atom.

---

10.
DFT (GGA-PBE) results for a geometry-optimized Sc2Fe3Si structure.

```
Sc2Fe3Si
1.0
4.9780 0.0000 0.0000
-2.4890 4.3111 0.0000
0.0000 0.0000 7.8580
Sc Fe Si
4 6 2
direct
0.3333 0.6667 0.0635
0.3333 0.6667 0.4365
0.6667 0.3333 0.5635
0.6667 0.3333 0.9365
0.1717 0.3434 0.7500
0.1717 0.8283 0.7500
0.3434 0.1717 0.2500
0.6566 0.8283 0.7500
0.8283 0.1717 0.2500
0.8283 0.6566 0.2500
0.0000 0.0000 0.0000
0.0000 0.0000 0.5000
```

Computed properties:
Its space-group type is No. 194. For the spin magnetization, the calculation gives 6.97 μB per cell. As for the final energy: -7.75 eV/atom. The formation energy (no corrections) comes out at -507 meV/atom.

---

11.
DFT (GGA-PBE) results for a geometry-optimized Sc2Fe3Si3 structure.

```
Sc2Fe3Si3
1.0
1.9110 -4.6675 0.0000
1.9110 4.6675 0.0000
0.0000 0.0000 12.8800
Sc Fe Si
4 6 6
direct
0.1425 0.8575 0.5759
0.1425 0.8575 0.9241
0.8575 0.1425 0.0759
0.8575 0.1425 0.4241
0.3011 0.6989 0.7500
0.4515 0.5485 0.5814
0.4515 0.5485 0.9186
0.5485 0.4515 0.0814
0.5485 0.4515 0.4186
0.6989 0.3011 0.2500
0.1492 0.8508 0.1489
0.1492 0.8508 0.3511
0.4065 0.5935 0.2500
0.5935 0.4065 0.7500
0.8508 0.1492 0.6489
0.8508 0.1492 0.8511
```

Computed properties:
As for the offset from the most stable computed form: 0.000 eV/atom. Its space-group type is No. 63. For the spin magnetization, the calculation gives 4.64 μB per cell. As for the final energy: -7.21 eV/atom. The formation energy (no corrections) comes out at -416 meV/atom.

---

12.
DFT (GGA-PBE) results for a geometry-optimized ScFeSi structure.

```
ScFeSi
1.0
0.0000 3.0720 3.0720
3.0720 0.0000 3.0720
3.0720 3.0720 0.0000
Sc Fe Si
1 1 1
direct
0.0000 0.0000 0.0000
0.7500 0.7500 0.7500
0.2500 0.2500 0.2500
```

Computed properties:
Its space-group type is No. 216. For the spin magnetization, the calculation gives 2.42 μB per cell. As for the final energy: -6.19 eV/atom. The formation energy (no corrections) comes out at 546 meV/atom.

---

What did we get for DOS(E_F)? Answer: 0.9995 0.0700 0.8740 0.5765 0.5684 0.7142 0.6109 1.0508 0.5574 0.6864 0.7721 3.1096 states/eV/atom, in the order shown.